A plane-wave DFT calculation with PBE was carried out for SmCu2C4 after structural relaxation.

CIF file:
```
data_SmCu2C4
_chemical_formula_sum 'Sm4 Cu8 C16'
_space_group_name_H-M_alt 'C 1 2/c 1'
_space_group_IT_number 15
_space_group_name_Hall '-C 2yc'
_cell_length_a 7.2467
_cell_length_b 14.4708
_cell_length_c 5.1576
_cell_angle_alpha 90.00
_cell_angle_beta 134.61
_cell_angle_gamma 90.00
loop_
_atom_site_label
_atom_site_fract_x
_atom_site_fract_y
_atom_site_fract_z
Sm1 0.0000 0.1252 0.2500
Cu1 0.0000 0.5000 0.0000
Cu2 0.2500 0.2500 0.0000
C1 0.1437 0.3748 0.7451
C2 0.1523 0.3752 0.0495
```

A plane-wave DFT calculation with PBE was carried out for ErTm2Tc after structural relaxation.

* ΔE_f: -0.573 eV/f.u.

CIF file:
```
data_ErTm2Tc
_chemical_formula_sum 'Er4 Tm8 Tc4'
_space_group_name_H-M_alt 'C m c m'
_space_group_IT_number 63
_space_group_name_Hall '-C 2c 2'
_cell_length_a 3.8317
_cell_length_b 11.7800
_cell_length_c 9.0300
_cell_angle_alpha 90.00
_cell_angle_beta 90.00
_cell_angle_gamma 90.00
loop_
_atom_site_label
_atom_site_fract_x
_atom_site_fract_y
_atom_site_fract_z
Er1 0.0000 0.0703 0.2500
Tm1 0.0000 0.3557 0.0647
Tc1 0.0000 0.2605 0.7500
```

A plane-wave DFT calculation with PBE was carried out for Nd2InGaPd4 after structural relaxation.

CIF file:
```
data_Nd2InGaPd4
_chemical_formula_sum 'Nd2 In1 Ga1 Pd4'
_space_group_name_H-M_alt 'P -3 m 1'
_space_group_IT_number 164
_space_group_name_Hall '-P 3 2"'
_cell_length_a 4.5677
_cell_length_b 4.5677
_cell_length_c 9.2777
_cell_angle_alpha 90.00
_cell_angle_beta 90.00
_cell_angle_gamma 120.00
loop_
_atom_site_label
_atom_site_fract_x
_atom_site_fract_y
_atom_site_fract_z
Nd1 0.3333 0.6667 0.2548
In1 0.0000 0.0000 0.0000
Ga1 0.0000 0.0000 0.5000
Pd1 0.3333 0.6667 0.5775
Pd2 0.3333 0.6667 0.9159
```

A plane-wave DFT calculation with PBE was carried out for KAgOsSe2S after structural relaxation.

CIF file:
```
data_KAgOsSe2S
_chemical_formula_sum 'K4 Ag4 Os4 Se8 S4'
_space_group_name_H-M_alt 'C m c m'
_space_group_IT_number 63
_space_group_name_Hall '-C 2c 2'
_cell_length_a 3.8879
_cell_length_b 14.6582
_cell_length_c 9.8349
_cell_angle_alpha 90.00
_cell_angle_beta 90.00
_cell_angle_gamma 90.00
loop_
_atom_site_label
_atom_site_fract_x
_atom_site_fract_y
_atom_site_fract_z
K1 0.0000 0.2458 0.2500
Ag1 0.0000 0.4542 0.7500
Os1 0.0000 0.0000 0.0000
Se1 0.0000 0.3864 0.5152
S1 0.0000 0.0640 0.7500
```

A plane-wave DFT calculation with PBE was carried out for LiGa2FeCu4 after structural relaxation.

CIF file:
```
data_LiGa2FeCu4
_chemical_formula_sum 'Li1 Ga2 Fe1 Cu4'
_space_group_name_H-M_alt 'P 4/m m m'
_space_group_IT_number 123
_space_group_name_Hall '-P 4 2'
_cell_length_a 4.0643
_cell_length_b 4.0643
_cell_length_c 5.9269
_cell_angle_alpha 90.00
_cell_angle_beta 90.00
_cell_angle_gamma 90.00
loop_
_atom_site_label
_atom_site_fract_x
_atom_site_fract_y
_atom_site_fract_z
Li1 0.0000 0.0000 0.0000
Ga1 0.0000 0.0000 0.5000
Ga2 0.5000 0.5000 0.0000
Fe1 0.5000 0.5000 0.5000
Cu1 0.0000 0.5000 0.2489
```

A plane-wave DFT calculation with PBE was carried out for ScSnAu after structural relaxation.

CIF file:
```
data_ScSnAu
_chemical_formula_sum 'Sc4 Sn4 Au4'
_space_group_name_H-M_alt 'F -4 3 m'
_space_group_IT_number 216
_space_group_name_Hall 'F -4 2 3'
_cell_length_a 6.4879
_cell_length_b 6.4879
_cell_length_c 6.4879
_cell_angle_alpha 90.00
_cell_angle_beta 90.00
_cell_angle_gamma 90.00
loop_
_atom_site_label
_atom_site_fract_x
_atom_site_fract_y
_atom_site_fract_z
Sc1 0.0000 0.0000 0.0000
Sn1 0.0000 0.0000 0.5000
Au1 0.2500 0.2500 0.2500
```

A plane-wave DFT calculation with PBE was carried out for LiLaCd6 after structural relaxation.

CIF file:
```
data_LiLaCd6
_chemical_formula_sum 'Li1 La1 Cd6'
_space_group_name_H-M_alt 'P 4/m m m'
_space_group_IT_number 123
_space_group_name_Hall '-P 4 2'
_cell_length_a 4.9445
_cell_length_b 4.9445
_cell_length_c 7.3980
_cell_angle_alpha 90.00
_cell_angle_beta 90.00
_cell_angle_gamma 90.00
loop_
_atom_site_label
_atom_site_fract_x
_atom_site_fract_y
_atom_site_fract_z
Li1 0.0000 0.0000 0.0000
La1 0.5000 0.5000 0.5000
Cd1 0.0000 0.0000 0.5000
Cd2 0.0000 0.5000 0.2207
Cd3 0.5000 0.5000 0.0000
```

A plane-wave DFT calculation with PBE was carried out for CdCoSiPt after structural relaxation.

* polymorph energy (0 for the lowest one): 0.0000 eV/atom

CIF file:
```
data_CdCoSiPt
_chemical_formula_sum 'Cd4 Co4 Si4 Pt4'
_space_group_name_H-M_alt 'F -4 3 m'
_space_group_IT_number 216
_space_group_name_Hall 'F -4 2 3'
_cell_length_a 6.1706
_cell_length_b 6.1706
_cell_length_c 6.1706
_cell_angle_alpha 90.00
_cell_angle_beta 90.00
_cell_angle_gamma 90.00
loop_
_atom_site_label
_atom_site_fract_x
_atom_site_fract_y
_atom_site_fract_z
Cd1 0.0000 0.0000 0.0000
Co1 0.2500 0.2500 0.7500
Si1 0.0000 0.0000 0.5000
Pt1 0.2500 0.2500 0.2500
```

Number 1: total DFT energy (no corrections) -6.1606 eV per atom, volume 385.1 Å³/cell. Number 2: total DFT energy (no corrections) -6.1116 eV per atom, volume 407.6 Å³/cell. Number 3: total DFT energy (no corrections) -5.3003 eV per atom, volume 167.6 Å³/cell. Number 4: total DFT energy (no corrections) -4.5041 eV per atom, volume 560.5 Å³/cell. Number 5: total DFT energy (no corrections) -3.9816 eV per atom, volume 97.9 Å³/cell. Number 6: total DFT energy (no corrections) -5.2975 eV per atom, volume 273.1 Å³/cell. Number 7: total DFT energy (no corrections) -1.7716 eV per atom, volume 180.9 Å³/cell. Number 8: total DFT energy (no corrections) -4.8925 eV per atom, volume 235.0 Å³/cell.